An optimized crystal structure of SrCu2Ni2, computed with PBE.

Lattice parameters (Å, degrees): 7.377 7.377 2.795 90.00 90.00 90.00
Element x y z (fractional)
1 Ni 0.666 0.834 0.500
2 Ni 0.834 0.334 0.500
3 Ni 0.166 0.666 0.500
4 Ni 0.334 0.166 0.500
5 Cu 0.378 0.878 0.000
6 Cu 0.622 0.122 0.000
7 Cu 0.122 0.378 0.000
8 Cu 0.878 0.622 0.000
9 Sr 0.500 0.500 0.000
10 Sr 0.000 0.000 0.000

## Properties
Its space group is P4/mbm (127). The calculated formation energy is 0.2097 eV per atom. For the energy above the most stable polymorph in this dataset, the calculation gives 131.3 meV/atom.